[1]
Computed, not measured: K11Cd2Sb5 after structural relaxation at the PBE-GGA level of DFT.

Lattice parameters (Å, degrees): 10.037 12.128 12.972 103.52 97.16 107.56
Space group P-1 (No. 2)
Unique sites:
K 0.049 0.207 0.270 [2 per cell]
K 0.123 0.404 0.018 [2 per cell]
K 0.143 0.926 0.038 [2 per cell]
K 0.203 0.057 0.571 [2 per cell]
K 0.203 0.579 0.571 [2 per cell]
K 0.304 0.394 0.776 [2 per cell]
K 0.352 0.913 0.792 [2 per cell]
K 0.364 0.826 0.439 [2 per cell]
K 0.369 0.335 0.469 [2 per cell]
K 0.393 0.747 0.141 [2 per cell]
K 0.414 0.274 0.136 [2 per cell]
Cd 0.053 0.541 0.282 [2 per cell]
Cd 0.054 0.876 0.285 [2 per cell]
Sb 0.002 0.265 0.555 [2 per cell]
Sb 0.191 0.132 0.866 [2 per cell]
Sb 0.193 0.648 0.866 [2 per cell]
Sb 0.337 0.527 0.300 [2 per cell]
Sb 0.339 0.044 0.308 [2 per cell]

***

[2]
Computed, not measured: K3CdSb2 after structural relaxation at the PBE-GGA level of DFT.

D(E_F) in states/eV/f.u.: 6.65
Excess energy over the best structure of this formula in the dataset in eV/f.u.: 0.00

Lattice parameters (Å, degrees): 8.838 15.212 7.311 90.00 90.00 90.00
Space group Ibam (No. 72)
Unique sites:
K 0.000 0.000 0.250 [4 per cell]
K 0.179 0.323 0.000 [8 per cell]
Cd 0.000 0.500 0.250 [4 per cell]
Sb 0.200 0.402 0.500 [8 per cell]

***

[3]
Computed, not measured: KCd2Sb2 after structural relaxation at the PBE-GGA level of DFT.

D(E_F) in states/eV/f.u.: 2.19
Excess energy over the best structure of this formula in the dataset in eV/f.u.: 0.13

Lattice parameters (Å, degrees): 4.721 4.721 13.999 90.00 90.00 90.00
Space group I4/mmm (No. 139)
Unique sites:
K 0.000 0.000 0.000 [2 per cell]
Cd 0.000 0.500 0.250 [4 per cell]
Sb 0.000 0.000 0.379 [4 per cell]

***

[4]
Computed, not measured: K3CdSb2 after structural relaxation at the PBE-GGA level of DFT.

D(E_F) in states/eV/f.u.: 5.84
Excess energy over the best structure of this formula in the dataset in eV/f.u.: 0.47

Lattice parameters (Å, degrees): 7.903 15.080 9.381 90.00 90.00 90.00
Space group Ibam (No. 72)
Unique sites:
K 0.000 0.000 0.250 [4 per cell]
K 0.000 0.268 0.250 [8 per cell]
Cd 0.000 0.500 0.000 [4 per cell]
Sb 0.244 0.122 0.000 [8 per cell]

***

[5]
Computed, not measured: KCd3Sb2 after structural relaxation at the PBE-GGA level of DFT.

D(E_F) in states/eV/f.u.: 0.93

Lattice parameters (Å, degrees): 4.916 9.299 9.708 115.23 101.28 97.66
Space group P-1 (No. 2)
Unique sites:
K 0.163 0.239 0.457 [2 per cell]
Cd 0.124 0.471 0.183 [2 per cell]
Cd 0.235 0.953 0.052 [2 per cell]
Cd 0.347 0.263 0.894 [2 per cell]
Sb 0.238 0.819 0.287 [2 per cell]
Sb 0.392 0.682 0.782 [2 per cell]

***

[6]
Computed, not measured: K2Cd2Sb after structural relaxation at the PBE-GGA level of DFT.

D(E_F) in states/eV/f.u.: 2.23
Excess energy over the best structure of this formula in the dataset in eV/f.u.: 0.41

Lattice parameters (Å, degrees): 4.071 4.071 22.409 90.00 90.00 90.00
Space group I4/mmm (No. 139)
Unique sites:
K 0.000 0.000 0.097 [4 per cell]
Cd 0.000 0.500 0.250 [4 per cell]
Sb 0.000 0.000 0.500 [2 per cell]

***

[7]
Computed, not measured: K3Cd2Sb3 after structural relaxation at the PBE-GGA level of DFT.

D(E_F) in states/eV/f.u.: 0.57

Lattice parameters (Å, degrees): 5.224 12.170 16.863 90.00 90.00 90.00
Space group Cmcm (No. 63)
Unique sites:
K 0.000 0.085 0.121 [8 per cell]
K 0.000 0.382 0.250 [4 per cell]
Cd 0.000 0.213 0.596 [8 per cell]
Sb 0.000 0.314 0.750 [4 per cell]
Sb 0.000 0.386 0.031 [8 per cell]

***

[8]
Computed, not measured: KCdSb2 after structural relaxation at the PBE-GGA level of DFT.

D(E_F) in states/eV/f.u.: 1.88

Lattice parameters (Å, degrees): 4.112 4.112 7.400 90.00 90.00 90.00
Space group P4/mmm (No. 123)
Unique sites:
K 0.000 0.000 0.000 [1 per cell]
Cd 0.000 0.000 0.500 [1 per cell]
Sb 0.500 0.500 0.310 [2 per cell]

***

| no. | raw formation energy (eV/atom) | E_tot (Ry/atom) |
| --- | --- | --- |
| 1 | -0.443 | -0.1735 |
| 2 | -0.336 | -0.1772 |
| 3 | -0.236 | -0.1816 |
| 4 | -0.259 | -0.1715 |
| 5 | -0.183 | -0.1615 |
| 6 | -0.099 | -0.1271 |
| 7 | -0.386 | -0.1890 |
| 8 | -0.120 | -0.1973 |